Compound: AlV2AuSe
Source: the Alexandria database
Functional: PBE
Structure: optimized geometry

CIF file:
```
data_AlV2AuSe
_cell_length_a 4.5950
_cell_length_b 4.5950
_cell_length_c 4.9127
_cell_angle_alpha 90.00
_cell_angle_beta 90.00
_cell_angle_gamma 90.00
_space_group_name_H-M_alt 'P 4/m m m'
_space_group_IT_number 123
_space_group_name_Hall '-P 4 2'
loop_
_atom_site_label
_atom_site_type_symbol
_atom_site_fract_x
_atom_site_fract_y
_atom_site_fract_z
Al1 Al 0.0000 0.0000 0.0000
V1 V 0.0000 0.5000 0.5000
Au1 Au 0.5000 0.5000 0.0000
Se1 Se 0.5000 0.5000 0.5000
```

Computed properties:
- Energy relative to the elements, uncorrected: 0.66 eV/atom